(i)
SiNi2I | PBE | relaxed

a b c (Å): 5.540 5.540 10.710
angles (deg): 90.00 90.00 90.00
Space group I-42d (No. 122)
Symmetry-distinct sites (fractional):
1 Si 0.000 0.000 0.000 (multiplicity 4)
2 Ni 0.205 0.250 0.125 (multiplicity 8)
3 I 0.000 0.000 0.500 (multiplicity 4)

Results
Crystal system: tetragonal

***

(ii)
SiNi2I | PBE | relaxed

a b c (Å): 6.325 6.325 6.325
angles (deg): 90.00 90.00 90.00
Space group Fm-3m (No. 225)
Symmetry-distinct sites (fractional):
1 Si 0.000 0.000 0.000 (multiplicity 4)
2 Ni 0.250 0.250 0.250 (multiplicity 8)
3 I 0.000 0.000 0.500 (multiplicity 4)

Results
Crystal system: cubic

***

Computed stability ranking, most favorable first: (i), (ii)

***

(i)
SiNi3I | PBE | relaxed

a b c (Å): 4.382 4.382 4.382
angles (deg): 90.00 90.00 90.00
Space group Pm-3m (No. 221)
Symmetry-distinct sites (fractional):
1 Si 0.000 0.000 0.000 (multiplicity 1)
2 Ni 0.000 0.000 0.500 (multiplicity 3)
3 I 0.500 0.500 0.500 (multiplicity 1)

Results
Crystal system: cubic

***

(ii)
SiNi3I | PBE | relaxed

a b c (Å): 4.637 4.637 4.637
angles (deg): 90.00 90.00 90.00
Space group Pm-3m (No. 221)
Symmetry-distinct sites (fractional):
1 Si 0.000 0.000 0.000 (multiplicity 1)
2 Ni 0.000 0.500 0.500 (multiplicity 3)
3 I 0.500 0.500 0.500 (multiplicity 1)

Results
Crystal system: cubic

***

Computed stability ranking, most favorable first: (i), (ii)

***

(i)
SiNiTe2I | PBE | relaxed

a b c (Å): 5.045 5.045 5.215
angles (deg): 90.00 90.00 90.00
Space group P4/mmm (No. 123)
Symmetry-distinct sites (fractional):
1 Si 0.000 0.000 0.000 (multiplicity 1)
2 Ni 0.500 0.500 0.500 (multiplicity 1)
3 Te 0.000 0.500 0.500 (multiplicity 2)
4 I 0.500 0.500 0.000 (multiplicity 1)

Results
Crystal system: tetragonal

***

(ii)
SiNiTe2I | PBE | relaxed

a b c (Å): 5.291 5.291 5.404
angles (deg): 90.00 90.00 90.00
Space group P4/mmm (No. 123)
Symmetry-distinct sites (fractional):
1 Si 0.000 0.000 0.000 (multiplicity 1)
2 Ni 0.500 0.500 0.500 (multiplicity 1)
3 Te 0.000 0.500 0.000 (multiplicity 2)
4 I 0.000 0.000 0.500 (multiplicity 1)

Results
Crystal system: tetragonal

***

Computed stability ranking, most favorable first: (i), (ii)

***

(i)
NiSnI2 | PBE | relaxed

a b c (Å): 3.8744 3.8744 28.3574
angles (deg): 90.00 90.00 120.00
Space group R-3m (No. 166, hexagonal axes)
Symmetry-distinct sites (fractional):
1 Ni 0.0000 0.0000 0.0000 (multiplicity 3)
2 Sn 0.0000 0.0000 0.5000 (multiplicity 3)
3 I 0.0000 0.0000 0.3875 (multiplicity 6)

Results
Crystal system: trigonal

***

(ii)
NiSnI2 | PBE | relaxed

a b c (Å): 7.023 7.023 10.904
angles (deg): 90.00 90.00 90.00
Space group I-42d (No. 122)
Symmetry-distinct sites (fractional):
1 Ni 0.000 0.000 0.000 (multiplicity 4)
2 Sn 0.000 0.000 0.500 (multiplicity 4)
3 I 0.171 0.250 0.125 (multiplicity 8)

Results
Crystal system: tetragonal

***

Computed stability ranking, most favorable first: (i), (ii)

***

(i)
NiSnTeI2 | PBE | relaxed

a b c (Å): 5.235 5.235 5.283
angles (deg): 90.00 90.00 90.00
Space group P4/mmm (No. 123)
Symmetry-distinct sites (fractional):
1 Ni 0.000 0.000 0.000 (multiplicity 1)
2 Sn 0.500 0.500 0.500 (multiplicity 1)
3 Te 0.000 0.000 0.500 (multiplicity 1)
4 I 0.000 0.500 0.000 (multiplicity 2)

Results
Crystal system: tetragonal

***

(ii)
NiSnTeI2 | PBE | relaxed

a b c (Å): 5.911 5.911 5.888
angles (deg): 90.00 90.00 90.00
Space group P4/mmm (No. 123)
Symmetry-distinct sites (fractional):
1 Ni 0.000 0.000 0.000 (multiplicity 1)
2 Sn 0.500 0.500 0.500 (multiplicity 1)
3 Te 0.500 0.500 0.000 (multiplicity 1)
4 I 0.000 0.500 0.500 (multiplicity 2)

Results
Crystal system: tetragonal

***

Computed stability ranking, most favorable first: (i), (ii)

***

(i)
Y2NiSnI | PBE | relaxed

a b c (Å): 5.807 5.807 5.844
angles (deg): 90.00 90.00 90.00
Space group P4/mmm (No. 123)
Symmetry-distinct sites (fractional):
1 Y 0.000 0.500 0.000 (multiplicity 2)
2 Ni 0.000 0.000 0.500 (multiplicity 1)
3 Sn 0.500 0.500 0.000 (multiplicity 1)
4 I 0.500 0.500 0.500 (multiplicity 1)

Results
Crystal system: tetragonal

***

(ii)
Y2NiSnI | PBE | relaxed

a b c (Å): 5.591 5.591 5.685
angles (deg): 90.00 90.00 90.00
Space group P4/mmm (No. 123)
Symmetry-distinct sites (fractional):
1 Y 0.000 0.500 0.000 (multiplicity 2)
2 Ni 0.000 0.000 0.500 (multiplicity 1)
3 Sn 0.500 0.500 0.500 (multiplicity 1)
4 I 0.500 0.500 0.000 (multiplicity 1)

Results
Crystal system: tetragonal

***

Computed stability ranking, most favorable first: (i), (ii)